No. 1
Computed, not measured: a relaxed Cs2NaMgP2 crystal at the PBE level of DFT.

Cell lengths 9.597, 9.597, 9.597 Å; angles 137.66, 60.16, 139.33 degrees
Fractional coordinates of all 12 atoms:
Cs 0.174 0.235 0.409
Cs 0.326 0.735 0.061
Cs 0.674 0.265 0.939
Cs 0.826 0.765 0.591
Na 0.250 0.250 0.000
Na 0.750 0.750 0.000
Mg 0.250 0.750 0.500
Mg 0.750 0.250 0.500
P 0.086 0.715 0.801
P 0.414 0.215 0.629
P 0.586 0.785 0.371
P 0.914 0.285 0.199

Output
- DFT formation energy: -0.37 eV/atom



No. 2
Computed, not measured: a relaxed CoBiSbI2 crystal at the PBE level of DFT.

Cell lengths 6.141, 6.141, 6.087 Å; angles 90.00, 90.00, 90.00 degrees
Fractional coordinates of all 5 atoms:
Co 0.000 0.000 0.000
Bi 0.500 0.500 0.500
Sb 0.500 0.500 0.000
I 0.000 0.500 0.500
I 0.500 0.000 0.500

Output
- E_form (uncorrected): 1.041 eV/atom



No. 3
Computed, not measured: a relaxed FeHg4Mo crystal at the PBE level of DFT.

Cell lengths 5.643, 5.643, 5.643 Å; angles 60.00, 60.00, 60.00 degrees
Fractional coordinates of all 6 atoms:
Fe 0.000 0.000 0.000
Hg 0.125 0.625 0.625
Hg 0.625 0.125 0.625
Hg 0.625 0.625 0.125
Hg 0.625 0.625 0.625
Mo 0.250 0.250 0.250

Output
- DFT formation energy: 1.01 eV/atom



No. 4
Computed, not measured: a relaxed LiTb3Te4 crystal at the PBE level of DFT.

Cell lengths 9.890, 8.949, 6.126 Å; angles 90.00, 90.00, 90.00 degrees
Fractional coordinates of all 16 atoms:
Li 0.000 0.101 0.000
Li 0.500 0.899 0.500
Tb 0.000 0.752 0.511
Tb 0.213 0.343 0.511
Tb 0.287 0.657 0.011
Tb 0.500 0.248 0.011
Tb 0.713 0.657 0.011
Tb 0.787 0.343 0.511
Te 0.000 0.095 0.509
Te 0.000 0.781 0.011
Te 0.201 0.331 0.011
Te 0.299 0.669 0.511
Te 0.500 0.219 0.511
Te 0.500 0.905 0.009
Te 0.701 0.669 0.511
Te 0.799 0.331 0.011

Output
- E_form (uncorrected): -1.153 eV/atom



No. 5
Computed, not measured: a relaxed Ca4PbBr crystal at the PBE level of DFT.

Cell lengths 6.798, 6.798, 6.798 Å; angles 60.00, 60.00, 60.00 degrees
Fractional coordinates of all 6 atoms:
Ca 0.124 0.124 0.124
Ca 0.124 0.124 0.628
Ca 0.124 0.628 0.124
Ca 0.628 0.124 0.124
Pb 0.750 0.750 0.750
Br 0.500 0.500 0.500

Output
- E_form (uncorrected): -0.072 eV/atom



No. 6
Computed, not measured: a relaxed Y2Ga3Pd crystal at the PBE level of DFT.

Cell lengths 5.640, 5.640, 7.168 Å; angles 128.35, 128.35, 46.35 degrees
Fractional coordinates of all 6 atoms:
Y 0.000 0.000 0.000
Y 0.084 0.084 0.589
Ga 0.378 0.378 0.183
Ga 0.385 0.385 0.594
Ga 0.707 0.707 0.397
Pd 0.710 0.710 0.011

Output
- DFT formation energy: -0.79 eV/atom



No. 7
Computed, not measured: a relaxed Ti2InGa2 crystal at the PBE level of DFT.

Cell lengths 6.360, 6.360, 6.360 Å; angles 141.76, 141.76, 55.19 degrees
Fractional coordinates of all 5 atoms:
Ti 0.250 0.750 0.500
Ti 0.750 0.250 0.500
In 0.000 0.000 0.000
Ga 0.393 0.393 0.000
Ga 0.607 0.607 0.000

Output
- DFT formation energy: 0.05 eV/atom



No. 8
Computed, not measured: a relaxed MgPW2 crystal at the PBE level of DFT.

Cell lengths 2.999, 4.395, 5.119 Å; angles 90.00, 105.66, 90.00 degrees
Fractional coordinates of all 4 atoms:
Mg 0.000 0.000 0.000
P 0.641 0.500 0.245
W 0.354 0.500 0.672
W 0.679 0.000 0.471

Output
- DFT formation energy: 0.25 eV/atom



No. 9
Computed, not measured: a relaxed Pm5Sm6Er2 crystal at the PBE level of DFT.

Cell lengths 11.751, 20.747, 3.625 Å; angles 90.00, 90.00, 90.00 degrees
Fractional coordinates of all 26 atoms:
Pm 0.000 0.000 0.000
Pm 0.087 0.273 0.000
Pm 0.198 0.554 0.000
Pm 0.302 0.054 0.000
Pm 0.413 0.773 0.000
Pm 0.500 0.500 0.000
Pm 0.587 0.227 0.000
Pm 0.698 0.946 0.000
Pm 0.802 0.446 0.000
Pm 0.913 0.727 0.000
Sm 0.062 0.419 0.500
Sm 0.082 0.132 0.500
Sm 0.174 0.862 0.000
Sm 0.326 0.362 0.000
Sm 0.418 0.632 0.500
Sm 0.438 0.919 0.500
Sm 0.562 0.081 0.500
Sm 0.582 0.368 0.500
Sm 0.674 0.638 0.000
Sm 0.826 0.138 0.000
Sm 0.918 0.868 0.500
Sm 0.938 0.581 0.500
Er 0.170 0.711 0.500
Er 0.330 0.211 0.500
Er 0.670 0.789 0.500
Er 0.830 0.289 0.500

Output
- DFT formation energy: 0.09 eV/atom



No. 10
Computed, not measured: a relaxed La12NdTm3 crystal at the PBE level of DFT.

Cell lengths 5.202, 5.202, 20.827 Å; angles 90.00, 90.00, 90.00 degrees
Fractional coordinates of all 16 atoms:
La 0.000 0.000 0.000
La 0.000 0.000 0.248
La 0.000 0.000 0.500
La 0.000 0.000 0.752
La 0.000 0.500 0.124
La 0.000 0.500 0.373
La 0.000 0.500 0.627
La 0.000 0.500 0.876
La 0.500 0.000 0.124
La 0.500 0.000 0.373
La 0.500 0.000 0.627
La 0.500 0.000 0.876
Nd 0.500 0.500 0.500
Tm 0.500 0.500 0.000
Tm 0.500 0.500 0.248
Tm 0.500 0.500 0.752

Output
- DFT formation energy: 0.01 eV/atom



No. 11
Computed, not measured: a relaxed Pr2ScTa2Rh5 crystal at the PBE level of DFT.

Cell lengths 10.926, 10.926, 3.260 Å; angles 90.00, 90.00, 90.00 degrees
Fractional coordinates of all 20 atoms:
Pr 0.173 0.327 0.000
Pr 0.327 0.827 0.000
Pr 0.673 0.173 0.000
Pr 0.827 0.673 0.000
Sc 0.000 0.000 0.000
Sc 0.500 0.500 0.000
Ta 0.136 0.636 0.000
Ta 0.364 0.136 0.000
Ta 0.636 0.864 0.000
Ta 0.864 0.364 0.000
Rh 0.000 0.500 0.500
Rh 0.052 0.800 0.500
Rh 0.200 0.052 0.500
Rh 0.300 0.552 0.500
Rh 0.448 0.300 0.500
Rh 0.500 0.000 0.500
Rh 0.552 0.700 0.500
Rh 0.700 0.448 0.500
Rh 0.800 0.948 0.500
Rh 0.948 0.200 0.500

Output
- DFT formation energy: -0.44 eV/atom



No. 12
Computed, not measured: a relaxed MgAg2 crystal at the PBE level of DFT.

Cell lengths 5.232, 5.232, 4.811 Å; angles 90.00, 90.00, 55.97 degrees
Fractional coordinates of all 6 atoms:
Mg 0.214 0.786 0.750
Mg 0.786 0.214 0.250
Ag 0.129 0.542 0.250
Ag 0.458 0.871 0.250
Ag 0.542 0.129 0.750
Ag 0.871 0.458 0.750

Output
- DFT formation energy: -0.17 eV/atom



What did the seventh record say?
Computed, not measured: a relaxed Ti2InGa2 crystal at the PBE level of DFT.

Cell lengths 6.360, 6.360, 6.360 Å; angles 141.76, 141.76, 55.19 degrees
Fractional coordinates of all 5 atoms:
Ti 0.250 0.750 0.500
Ti 0.750 0.250 0.500
In 0.000 0.000 0.000
Ga 0.393 0.393 0.000
Ga 0.607 0.607 0.000

Output
- DFT formation energy: 0.05 eV/atom